A relaxed structure of BaFeRu. Source: Alexandria via LeMat-Bulk, functional PBEsol.

## Properties
The value obtained for the distance to the lowest polymorph of the same formula is 0 meV/atom. Its formation energy is 644 meV per atom.

Cell: 6.1817 6.1817 6.1817 Å, 148.88 148.88 44.59°
Last column: nearest neighbours and their distance in Å.
Element x y z (fractional)
1 Ba 0.0000 0.0000 0.0000  5 Fe 3.17-3.46, 5 Ru 3.20-3.44, 4 Ba 3.32
2 Fe 0.7226 0.7226 0.0000  4 Ru 2.44
3 Ru 0.2800 0.2800 0.0000  4 Fe 2.44

=====

A relaxed structure of Ba5Mg. Source: Alexandria via LeMat-Bulk, functional PBEsol.

## Properties
The value obtained for the distance to the lowest polymorph of the same formula is 30 meV/atom. Its formation energy is 29 meV per atom.

Cell: 6.4847 10.0905 10.0905 Å, 27.57 90.00 90.00°
Last column: nearest neighbours and their distance in Å.
Element x y z (fractional)
1 Ba 0.0000 0.0000 0.0000  2 Mg 3.79, 4 Ba 4.05
2 Ba 0.0000 0.2994 0.2994  2 Mg 3.80, 4 Ba 4.06
3 Ba 0.5000 0.1504 0.1504  4 Mg 4.04, 8 Ba 4.09-4.38
4 Ba 0.5000 0.4817 0.4817  8 Ba 3.98-4.09
5 Ba 0.5000 0.8199 0.8199  8 Ba 3.98-4.10
6 Mg 0.0000 0.6495 0.6495  8 Ba 3.79-4.04

=====

A relaxed structure of BeAgSb2F. Source: Alexandria via LeMat-Bulk, functional PBEsol.

## Properties
The calculation puts the uncorrected formation energy at 0.411 eV per atom.

Cell: 5.2801 5.2801 4.0470 Å, 90.00 90.00 90.00°
Last column: nearest neighbours and their distance in Å.
Element x y z (fractional)
1 Be 0.0000 0.0000 0.0000  8 Sb 3.33
2 Ag 0.5000 0.5000 0.5000  2 F 2.02
3 Sb 0.0000 0.5000 0.5000  2 Ag 2.64
4 Sb 0.5000 0.0000 0.5000  2 Ag 2.64
5 F 0.5000 0.5000 0.0000  2 Ag 2.02

=====

A relaxed structure of AsOs. Source: Alexandria via LeMat-Bulk, functional PBEsol.

## Properties
Its formation energy is 743 meV per atom.

Cell: 2.9257 2.9257 4.1218 Å, 90.00 90.00 120.30°
Last column: nearest neighbours and their distance in Å.
Element x y z (fractional)
1 As 0.0000 0.0000 0.0000  4 Os 2.52
2 Os 0.5000 0.5000 0.5000  4 As 2.52

=====

A relaxed structure of YIrSe2. Source: Alexandria via LeMat-Bulk, functional PBEsol.

## Properties
The value obtained for the distance to the lowest polymorph of the same formula is 0 meV/atom. The calculation puts the uncorrected formation energy at -0.720 eV per atom.

Cell: 7.3572 7.3572 7.3572 Å, 31.28 31.28 31.28°
Last column: nearest neighbours and their distance in Å.
Element x y z (fractional)
1 Y 0.0000 0.0000 0.0000  3 Se 2.75
2 Ir 0.2349 0.2349 0.2349  3 Se 2.37
3 Se 0.5394 0.5394 0.5394  3 Ir 2.37
4 Se 0.7393 0.7393 0.7393  3 Y 2.75

=====

A relaxed structure of BaZrSb2. Source: Alexandria via LeMat-Bulk, functional PBEsol.

## Properties
The value obtained for the distance to the lowest polymorph of the same formula is 116 meV/atom. The calculation puts the uncorrected formation energy at -0.694 eV per atom.

Cell: 3.3334 3.8946 8.4029 Å, 90.00 90.00 90.00°
Last column: nearest neighbours and their distance in Å.
Element x y z (fractional)
1 Ba 0.0000 0.0000 0.0000  2 Ba 3.33, 8 Sb 3.56
2 Zr 0.0000 0.0000 0.5000  8 Sb 3.10, 2 Zr 3.33
3 Sb 0.5000 0.5000 0.2934  4 Zr 3.10, 2 Sb 3.33
4 Sb 0.5000 0.5000 0.7066  4 Zr 3.10, 2 Sb 3.33

=====

A relaxed structure of BaCe2CoS5. Source: Alexandria via LeMat-Bulk, functional PBEsol.

## Properties
The calculation puts the uncorrected formation energy at -1.719 eV per atom.

Cell: 8.4599 8.4599 8.4599 Å, 126.51 126.51 79.05°
Last column: nearest neighbours and their distance in Å.
Element x y z (fractional)
1 Ba 0.2500 0.2500 0.0000  10 S 3.26-3.28
2 Ba 0.7500 0.7500 0.0000  10 S 3.26-3.28
3 Ce 0.1623 0.6623 0.8246  8 S 2.71-2.94
4 Ce 0.3377 0.1623 0.5000  8 S 2.71-2.94
5 Ce 0.6623 0.8377 0.5000  8 S 2.71-2.94
6 Ce 0.8377 0.3377 0.1754  8 S 2.71-2.94
7 Co 0.2500 0.7500 0.5000  4 S 2.18
8 Co 0.7500 0.2500 0.5000  4 S 2.18
9 S 0.0000 0.0000 0.0000  4 Ce 2.85
10 S 0.0117 0.2183 0.5000  1 Co 2.18
11 S 0.2183 0.7183 0.2066  1 Co 2.18
12 S 0.2817 0.4883 0.5000  1 Co 2.18
13 S 0.4883 0.9883 0.2066  1 Co 2.18
14 S 0.5000 0.5000 0.0000  4 Ce 2.85
15 S 0.5117 0.0117 0.7934  1 Co 2.18
16 S 0.7183 0.5117 0.5000  1 Co 2.18
17 S 0.7817 0.2817 0.7934  1 Co 2.18
18 S 0.9883 0.7817 0.5000  1 Co 2.18

=====

A relaxed structure of LiBiPIr2. Source: Alexandria via LeMat-Bulk, functional PBEsol.

## Properties
Its formation energy is 1111 meV per atom.

Cell: 4.3232 4.3232 4.3815 Å, 90.00 90.00 90.00°
Last column: nearest neighbours and their distance in Å.
Element x y z (fractional)
1 Li 0.0000 0.0000 0.0000  4 Ir 2.16, 2 Bi 2.19
2 Bi 0.0000 0.0000 0.5000  2 Li 2.19
3 P 0.5000 0.5000 0.5000  4 Bi 3.06, 8 Ir 3.08
4 Ir 0.0000 0.5000 0.0000  2 Li 2.16
5 Ir 0.5000 0.0000 0.0000  2 Li 2.16

=====

Density across the listed records, respectively: 7.77, 3.86, 5.58, 14.45, 7.65, 7.19, 5.59, 12.80 Mg/m³.